Record 1
The following is a DFT calculation (GGA-PBE) of a geometry-optimized Ac2AgSb3Rh4 structure.

Cell: 4.5062 4.5062 11.0550 Å, 90.00 90.00 90.00°
Element x y z (fractional)
Rh: 0.5000 0.5000 0.0000
Rh: 0.5000 0.0000 0.6385
Rh: 0.0000 0.5000 0.3615
Rh: 0.0000 0.0000 0.0000
Ac: 0.0000 0.5000 0.7416
Ac: 0.5000 0.0000 0.2584
Ag: 0.5000 0.5000 0.5000
Sb: 0.0000 0.0000 0.5000
Sb: 0.5000 0.0000 0.8717
Sb: 0.0000 0.5000 0.1283

Values from the calculation:
Space-group type ... P-4m2 (115)
Raw formation energy ... -0.729 eV/atom
Final energy ... -6.01 eV/atom

=====

Record 2
The following is a DFT calculation (GGA-PBE) of a geometry-optimized K2YTe structure.

Cell: 4.8707 4.8505 8.1091 Å, 53.34 90.00 90.00°
Each line ends with the local moment (μB).
Element x y z (fractional)
K: 0.0000 0.9790 0.0226  0.01
K: 0.0000 0.5210 0.4774  0.01
Y: 0.5000 0.7500 0.7500  0.26
Te: 0.5000 0.2500 0.2500  -0.01

Values from the calculation:
Space-group type ... P2/m (10)
Raw formation energy ... -0.250 eV/atom
Final energy ... -3.20 eV/atom